Record 1
DFT (GGA-PBE) results for crystalline Zr2AgPb at its relaxed geometry.

Calculated volume ... 21.82 Å³/atom
Spin magnetization ... 0.00 Bohr magnetons per cell
E_form ... -0.48 eV/f.u.

Unit cell a=4.4767 b=4.4767 c=4.3543 alpha=90.00 beta=90.00 gamma=90.00
With the nearest neighbours (Å) after each atom.
Space group P4/mmm (No. 123)
Symmetry-distinct sites (fractional):
Zr (0.0000, 0.5000, 0.0000) [2 per cell]  4 Pb 3.12, 4 Ag 3.12, 4 Zr 3.17
Ag (0.0000, 0.0000, 0.5000) [1 per cell]  8 Zr 3.12, 4 Pb 3.17
Pb (0.5000, 0.5000, 0.5000) [1 per cell]  8 Zr 3.12, 4 Ag 3.17


Record 2
DFT (GGA-PBE) results for crystalline Ac8TlRh3I4 at its relaxed geometry.

Calculated volume ... 38.00 Å³/atom
Spin magnetization ... 0.00 Bohr magnetons per cell
Formation energy (no corrections) ... -895 meV/atom

Unit cell a=15.6643 b=9.0430 c=10.0510 alpha=90.00 beta=121.35 gamma=90.00
With the nearest neighbours (Å) after each atom.
Space group C2/m (No. 12)
Symmetry-distinct sites (fractional):
Ac (0.0271, 0.2309, 0.3130) [8 per cell]  2 Rh 2.98-2.99, 1 Tl 3.24
Ac (0.2304, 0.0000, 0.6905) [4 per cell]  3 Rh 3.08
Ac (0.2417, 0.5000, 0.6869) [4 per cell]  2 Rh 2.98, 1 Tl 3.24
Tl (0.0000, 0.5000, 0.5000) [2 per cell]  6 Ac 3.24
Rh (0.0000, 0.0000, 0.5000) [2 per cell]  6 Ac 2.98-3.08
Rh (0.2500, 0.2500, 0.5000) [4 per cell]  6 Ac 2.98-3.08
I (0.0000, 0.0000, 0.0000) [2 per cell]  6 Ac 3.61
I (0.0000, 0.5000, 0.0000) [2 per cell]  6 Ac 3.72-3.82
I (0.2500, 0.2500, 0.0000) [4 per cell]  6 Ac 3.73-3.82


Record 3
DFT (GGA-PBE) results for crystalline LiTcBi at its relaxed geometry.

Calculated volume ... 19.98 Å³/atom
Spin magnetization ... 0.00 Bohr magnetons per cell
E_form ... 0.26 eV/f.u.

Unit cell a=4.1823 b=4.4166 c=7.2915 alpha=81.68 beta=89.93 gamma=64.38
With the nearest neighbours (Å) after each atom.
Space group P1 (No. 1)
Symmetry-distinct sites (fractional):
Li (0.0000, 0.0000, 0.0000) [1 per cell]  6 Bi 2.93-3.06
Li (0.3327, 0.3360, 0.6356) [1 per cell]  5 Tc 2.62-2.84, 3 Bi 2.63-2.90
Tc (0.0008, 0.9835, 0.4951) [1 per cell]  2 Tc 2.48-2.57, 2 Li 2.62-2.78
Tc (0.7083, 0.6339, 0.4104) [1 per cell]  2 Tc 2.48-2.57, 1 Li 2.77
Bi (0.3482, 0.3204, 0.2226) [1 per cell]  5 Tc 2.86-3.05, 4 Li 2.93-3.06
Bi (0.6502, 0.6895, 0.7865) [1 per cell]  4 Li 2.63-2.94, 1 Tc 2.79


Record 4
DFT (GGA-PBE) results for crystalline Ba3SrTl2H at its relaxed geometry.

Calculated volume ... 38.54 Å³/atom
E_tot ... -2.55 eV/atom
Spin magnetization ... 0.00 Bohr magnetons per cell

Unit cell a=5.5387 b=5.5683 c=17.4929 alpha=90.00 beta=90.00 gamma=90.00
With the nearest neighbours (Å) after each atom.
Space group Immm (No. 71)
Symmetry-distinct sites (fractional):
Ba (0.0000, 0.0000, 0.0000) [2 per cell]  2 H 2.78
Ba (0.0000, 0.5000, 0.1821) [4 per cell]  1 H 3.19, 1 Tl 3.46
Sr (0.0000, 0.0000, 0.5000) [2 per cell]  2 H 2.77
Tl (0.0000, 0.5000, 0.3797) [4 per cell]  3 Ba 3.46-3.48, 2 Sr 3.49
H (0.0000, 0.5000, 0.0000) [2 per cell]  2 Sr 2.77, 2 Ba 2.78


Record 5
DFT (GGA-PBE) results for crystalline CaIn5Pd6 at its relaxed geometry.

Calculated volume ... 18.44 Å³/atom
Spin magnetization ... 0.00 Bohr magnetons per cell
E_form ... -6.69 eV/f.u.

Unit cell a=4.6805 b=13.9947 c=6.7574 alpha=90.00 beta=90.00 gamma=90.00
With the nearest neighbours (Å) after each atom.
Space group Cmmm (No. 65)
Symmetry-distinct sites (fractional):
Ca (0.0000, 0.0000, 0.0000) [2 per cell]  8 Pd 2.95-2.99, 4 In 3.28
In (0.0000, 0.0000, 0.5000) [2 per cell]  8 Pd 2.83-2.93
In (0.0000, 0.3360, 0.0000) [4 per cell]  8 Pd 2.87-2.92
In (0.0000, 0.3362, 0.5000) [4 per cell]  8 Pd 2.79-2.86
Pd (0.0000, 0.1735, 0.2582) [8 per cell]  7 In 2.80-2.93, 1 Ca 2.99
Pd (0.0000, 0.5000, 0.2654) [4 per cell]  6 In 2.79-2.91, 2 Ca 2.95


Record 6
DFT (GGA-PBE) results for crystalline Na5AgO3 at its relaxed geometry.

Calculated volume ... 16.88 Å³/atom
Spin magnetization ... 0.00 Bohr magnetons per cell
Formation energy (no corrections) ... -1005 meV/atom

Unit cell a=5.3012 b=3.6045 c=15.9053 alpha=90.00 beta=90.35 gamma=90.00
With the nearest neighbours (Å) after each atom.
Space group P2/m (No. 10)
Symmetry-distinct sites (fractional):
Na (0.1748, 0.0000, 0.4295) [2 per cell]  3 O 2.31-2.32
Na (0.1946, 0.0000, 0.7683) [2 per cell]  3 O 2.29-2.34
Na (0.2081, 0.0000, 0.1067) [2 per cell]  3 O 2.30-2.31
Na (0.3093, 0.5000, 0.9359) [2 per cell]  3 O 2.27-2.30
Na (0.3119, 0.5000, 0.6003) [2 per cell]  3 O 2.29
Ag (0.2909, 0.5000, 0.2634) [2 per cell]  3 O 2.21-2.41
O (0.0000, 0.5000, 0.5000) [1 per cell]  6 Na 2.29-2.32
O (0.0014, 0.5000, 0.8361) [2 per cell]  1 Ag 2.21, 5 Na 2.27-2.34
O (0.4954, 0.0000, 0.6652) [2 per cell]  4 Na 2.29-2.31, 2 Ag 2.41
O (0.5000, 0.0000, 0.0000) [1 per cell]  6 Na 2.30